Density functional theory data (PBE-GGA) for an optimized crystal structure of CsTbZn2F8.

Results
Its volume is 230.1 Å³/cell. The value obtained for the density of states at the Fermi level is 0.00 states/eV/f.u. The theoretical density comes out at 4.1 g/cm³. Its space group is No. 155. The value obtained for the uncorrected formation energy is -2.9358 eV/atom.

a = 5.4600 Å, b = 5.4600 Å, c = 9.4523 Å
α = 73.21°, β = 73.21°, γ = 60.00°
With the nearest neighbours (Å) after each atom.
Atoms (fractional coordinates):
Cs: 0.0000 0.0000 0.0000  6 F 3.18
Zn: 0.2493 0.2493 0.2521  4 F 1.86-1.95
Zn: 0.7507 0.7507 0.7479  4 F 1.86-1.95
F: 0.3188 0.3188 0.0437  1 Zn 1.86
F: 0.4736 0.1211 0.6559  1 Zn 1.95
F: 0.6812 0.6812 0.9563  1 Zn 1.86
F: 0.1211 0.7494 0.6559  1 Zn 1.95
F: 0.8789 0.5264 0.3441  1 Zn 1.95
F: 0.7494 0.4736 0.6559  1 Zn 1.95
F: 0.5264 0.2506 0.3441  1 Zn 1.95
F: 0.2506 0.8789 0.3441  1 Zn 1.95
Tb: 0.5000 0.5000 0.5000  6 F 2.21

***

Density functional theory data (PBE-GGA) for an optimized crystal structure of V2CuH.

Results
Its volume is 41.5 Å³/cell. The value obtained for the density of states at the Fermi level is 4.21 states/eV/f.u. The theoretical density comes out at 6.7 g/cm³. Its space group is No. 123. For the raw total energy, the calculation gives -6.22 eV/atom.

a = 2.5307 Å, b = 2.5307 Å, c = 6.4739 Å
α = 90.00°, β = 90.00°, γ = 90.00°
With the nearest neighbours (Å) after each atom.
Atoms (fractional coordinates):
Cu: 0.5000 0.5000 0.5000  4 Cu 2.53, 8 V 2.69
H: 0.5000 0.5000 0.0000  8 V 2.17
V: 0.0000 0.0000 0.8109  4 H 2.17
V: 0.0000 0.0000 0.1891  4 H 2.17

***

Density functional theory data (PBE-GGA) for an optimized crystal structure of CeAl3Hg3.

Results
Its volume is 386.0 Å³/cell. The value obtained for the density of states at the Fermi level is 10.97 states/eV/f.u. The theoretical density comes out at 7.1 g/cm³. Its space group is No. 223. For the raw total energy, the calculation gives -2.34 eV/atom.

a = 7.2811 Å, b = 7.2811 Å, c = 7.2811 Å
α = 90.00°, β = 90.00°, γ = 90.00°
With the nearest neighbours (Å) after each atom.
Atoms (fractional coordinates):
Hg: 0.0000 0.5000 0.2500  4 Al 2.57
Hg: 0.5000 0.2500 0.0000  4 Al 2.57
Hg: 0.2500 0.0000 0.5000  4 Al 2.57
Hg: 0.5000 0.7500 0.0000  4 Al 2.57
Hg: 0.0000 0.5000 0.7500  4 Al 2.57
Hg: 0.7500 0.0000 0.5000  4 Al 2.57
Ce: 0.0000 0.0000 0.0000  12 Hg 4.07, 12 Al 4.07
Ce: 0.5000 0.5000 0.5000  12 Hg 4.07, 12 Al 4.07
Al: 0.5000 0.0000 0.2500  4 Hg 2.57
Al: 0.2500 0.5000 0.0000  4 Hg 2.57
Al: 0.7500 0.5000 0.0000  4 Hg 2.57
Al: 0.0000 0.7500 0.5000  4 Hg 2.57
Al: 0.0000 0.2500 0.5000  4 Hg 2.57
Al: 0.5000 0.0000 0.7500  4 Hg 2.57

***

Density functional theory data (PBE-GGA) for an optimized crystal structure of PmThAl3.

Results
Its volume is 250.3 Å³/cell. The value obtained for the density of states at the Fermi level is 3.24 states/eV/f.u. The theoretical density comes out at 6.1 g/cm³. Its space group is No. 63. For the raw total energy, the calculation gives -5.10 eV/atom.

a = 4.3503 Å, b = 4.2782 Å, c = 13.6177 Å
α = 99.04°, β = 90.00°, γ = 90.00°
With the nearest neighbours (Å) after each atom.
Atoms (fractional coordinates):
Al: 0.7500 0.5238 0.0477  3 Al 2.52-2.53
Al: 0.7500 0.6180 0.2361  3 Al 2.53-2.60
Al: 0.2500 0.6708 0.3416  2 Al 2.60
Al: 0.2500 0.4762 0.9523  3 Al 2.52-2.53
Al: 0.7500 0.3292 0.6584  2 Al 2.60
Al: 0.2500 0.3820 0.7639  3 Al 2.53-2.60
Th: 0.2500 0.0711 0.1422  12 Al 3.30-3.43
Th: 0.7500 0.9289 0.8578  12 Al 3.30-3.43
Pm: 0.7500 0.2049 0.4098  7 Al 3.17-3.34
Pm: 0.2500 0.7951 0.5902  7 Al 3.17-3.34

***

Density functional theory data (PBE-GGA) for an optimized crystal structure of LiCeGaTc.

Results
Its volume is 70.2 Å³/cell. The value obtained for the density of states at the Fermi level is 4.14 states/eV/f.u. The theoretical density comes out at 7.4 g/cm³. Its space group is No. 216. For the raw total energy, the calculation gives -5.43 eV/atom.

a = 4.6308 Å, b = 4.6308 Å, c = 4.6308 Å
α = 60.00°, β = 60.00°, γ = 60.00°
With the nearest neighbours (Å) after each atom.
Atoms (fractional coordinates):
Tc: 0.0000 0.0000 0.0000  4 Ga 2.84, 4 Ce 2.84
Ce: 0.7500 0.7500 0.7500  4 Tc 2.84, 4 Li 2.84
Li: 0.5000 0.5000 0.5000  4 Ce 2.84, 4 Ga 2.84
Ga: 0.2500 0.2500 0.2500  4 Li 2.84, 4 Tc 2.84

***

Density functional theory data (PBE-GGA) for an optimized crystal structure of CrGaIr.

Results
Its volume is 82.8 Å³/cell. The value obtained for the density of states at the Fermi level is 2.46 states/eV/f.u. The theoretical density comes out at 12.6 g/cm³. Its space group is No. 44. For the raw total energy, the calculation gives -7.31 eV/atom.

a = 3.7485 Å, b = 2.7966 Å, c = 7.8940 Å
α = 90.00°, β = 90.00°, γ = 90.00°
With the nearest neighbours (Å) after each atom.
Atoms (fractional coordinates):
Cr: 0.5000 0.5000 0.9277  5 Ga 2.63-2.68, 5 Ir 2.65-2.68, 2 Cr 2.80
Cr: 0.0000 0.0000 0.4277  5 Ga 2.63-2.68, 5 Ir 2.65-2.68, 2 Cr 2.80
Ir: 0.0000 0.0000 0.7630  5 Ga 2.62-2.69, 5 Cr 2.65-2.68, 2 Ir 2.80
Ir: 0.5000 0.5000 0.2630  5 Ga 2.62-2.69, 5 Cr 2.65-2.68, 2 Ir 2.80
Ga: 0.0000 0.0000 0.0948  5 Ir 2.62-2.69, 5 Cr 2.63-2.68, 2 Ga 2.80
Ga: 0.5000 0.5000 0.5948  5 Ir 2.62-2.69, 5 Cr 2.63-2.68, 2 Ga 2.80

***

Density functional theory data (PBE-GGA) for an optimized crystal structure of NdLuRe4.

Results
Its volume is 113.9 Å³/cell. The value obtained for the density of states at the Fermi level is 8.01 states/eV/f.u. The theoretical density comes out at 15.5 g/cm³. Its space group is No. 216. For the raw total energy, the calculation gives -9.93 eV/atom.

a = 5.4412 Å, b = 5.4412 Å, c = 5.4412 Å
α = 60.00°, β = 60.00°, γ = 60.00°
With the nearest neighbours (Å) after each atom.
Atoms (fractional coordinates):
Nd: 0.2500 0.2500 0.2500  12 Re 3.19, 4 Lu 3.33
Re: 0.6252 0.6252 0.1245  6 Re 2.72
Re: 0.1245 0.6252 0.6252  6 Re 2.72
Re: 0.6252 0.1245 0.6252  6 Re 2.72
Re: 0.6252 0.6252 0.6252  6 Re 2.72
Lu: 0.0000 0.0000 0.0000  12 Re 3.19, 4 Nd 3.33

***

Density functional theory data (PBE-GGA) for an optimized crystal structure of PrNd5Ir4.

Results
Its volume is 285.6 Å³/cell. The value obtained for the density of states at the Fermi level is 5.17 states/eV/f.u. The theoretical density comes out at 9.5 g/cm³. Its space group is No. 12. For the raw total energy, the calculation gives -6.93 eV/atom.

a = 4.3586 Å, b = 7.6850 Å, c = 9.6084 Å
α = 113.65°, β = 103.11°, γ = 90.00°
With the nearest neighbours (Å) after each atom.
Atoms (fractional coordinates):
Pr: 0.5000 0.0000 0.0000  4 Ir 2.95
Nd: 0.5000 0.5000 0.0000  4 Ir 2.86
Nd: 0.1655 0.9237 0.3310  4 Ir 2.82-3.06
Nd: 0.1654 0.4075 0.3308  4 Ir 2.82-3.05
Nd: 0.8346 0.5925 0.6692  4 Ir 2.82-3.05
Nd: 0.8345 0.0763 0.6690  4 Ir 2.82-3.06
Ir: 0.3015 0.8014 0.6030  6 Nd 2.92-3.06
Ir: 0.0001 0.7409 0.0001  4 Nd 2.82-2.86, 2 Pr 2.95
Ir: 0.9999 0.2591 0.9999  4 Nd 2.82-2.86, 2 Pr 2.95
Ir: 0.6985 0.1986 0.3970  6 Nd 2.92-3.06

***

Density functional theory data (PBE-GGA) for an optimized crystal structure of LaCe2Dy6Ho3.

Results
Its volume is 378.2 Å³/cell. The value obtained for the density of states at the Fermi level is 23.03 states/eV/f.u. The theoretical density comes out at 8.3 g/cm³. Its space group is No. 12. For the raw total energy, the calculation gives -4.79 eV/atom.

a = 6.1421 Å, b = 6.1421 Å, c = 11.7587 Å
α = 95.00°, β = 95.00°, γ = 120.02°
With the nearest neighbours (Å) after each atom.
Atoms (fractional coordinates):
Dy: 0.7475 0.7475 0.2513  3 Ho 3.52-3.54, 6 Dy 3.53-3.58, 2 Ce 3.55, 1 La 3.57
Dy: 0.2525 0.2525 0.7487  3 Ho 3.52-3.54, 6 Dy 3.53-3.58, 2 Ce 3.55, 1 La 3.57
Dy: 0.5791 0.9158 0.7486  3 Ho 3.52-3.54, 6 Dy 3.53-3.58, 2 Ce 3.55, 1 La 3.57
Dy: 0.0842 0.4209 0.2514  3 Ho 3.52-3.54, 6 Dy 3.53-3.58, 2 Ce 3.55, 1 La 3.57
Dy: 0.9158 0.5791 0.7486  3 Ho 3.52-3.54, 6 Dy 3.53-3.58, 2 Ce 3.55, 1 La 3.57
Dy: 0.4209 0.0842 0.2514  3 Ho 3.52-3.54, 6 Dy 3.53-3.58, 2 Ce 3.55, 1 La 3.57
La: 0.0000 0.0000 0.0000  6 Ce 3.55, 6 Dy 3.57
Ho: 0.1665 0.8335 0.5000  6 Dy 3.52-3.54, 6 Ho 3.54-3.55
Ho: 0.5000 0.5000 0.5000  6 Dy 3.52-3.54, 6 Ho 3.54-3.55
Ho: 0.8335 0.1665 0.5000  6 Dy 3.52-3.54, 6 Ho 3.54-3.55
Ce: 0.3332 0.6668 0.0000  3 Ce 3.54-3.55, 3 La 3.55, 6 Dy 3.55
Ce: 0.6668 0.3332 0.0000  3 Ce 3.54-3.55, 3 La 3.55, 6 Dy 3.55

***

Density functional theory data (PBE-GGA) for an optimized crystal structure of ReHSN2.

Results
Its volume is 70.2 Å³/cell. The value obtained for the density of states at the Fermi level is 1.76 states/eV/f.u. The theoretical density comes out at 5.9 g/cm³. Its space group is No. 123. For the raw total energy, the calculation gives -6.39 eV/atom.

a = 3.7806 Å, b = 3.7806 Å, c = 4.9095 Å
α = 90.00°, β = 90.00°, γ = 90.00°
With the nearest neighbours (Å) after each atom.
Atoms (fractional coordinates):
Re: 0.0000 0.0000 0.0000  4 N 1.89
N: 0.0000 0.5000 0.0000  2 Re 1.89
N: 0.5000 0.0000 0.0000  2 Re 1.89
H: 0.5000 0.5000 0.5000  4 S 2.67
S: 0.0000 0.0000 0.5000  2 Re 2.45, 4 H 2.67

***

Density functional theory data (PBE-GGA) for an optimized crystal structure of TaZn3N.

Results
Its volume is 71.8 Å³/cell. The value obtained for the density of states at the Fermi level is 5.53 states/eV/f.u. The theoretical density comes out at 9.1 g/cm³. Its space group is No. 221. The value obtained for the uncorrected formation energy is 0.7960 eV/atom.

a = 4.1556 Å, b = 4.1556 Å, c = 4.1556 Å
α = 90.00°, β = 90.00°, γ = 90.00°
With the nearest neighbours (Å) after each atom.
Atoms (fractional coordinates):
Zn: 0.0000 0.0000 0.5000  2 N 2.08
Zn: 0.5000 0.0000 0.0000  2 N 2.08
Zn: 0.0000 0.5000 0.0000  2 N 2.08
Ta: 0.5000 0.5000 0.5000  12 Zn 2.94
N: 0.0000 0.0000 0.0000  6 Zn 2.08

***

Density functional theory data (PBE-GGA) for an optimized crystal structure of LiP2N.

Results
Its volume is 111.5 Å³/cell. The value obtained for the density of states at the Fermi level is 0.01 states/eV/f.u. The theoretical density comes out at 2.5 g/cm³. Its space group is No. 122. The value obtained for the uncorrected formation energy is 0.3073 eV/atom.

a = 5.5803 Å, b = 5.5803 Å, c = 5.3283 Å
α = 58.42°, β = 58.42°, γ = 90.00°
With the nearest neighbours (Å) after each atom.
Atoms (fractional coordinates):
N: 0.0000 0.0000 0.0000  4 P 1.89
N: 0.7500 0.2500 0.5000  4 P 1.89
Li: 0.5000 0.5000 0.0000  4 P 2.51
Li: 0.2500 0.7500 0.5000  4 P 2.51
P: 0.8750 0.9633 0.7500  2 N 1.89
P: 0.3750 0.2867 0.7500  2 N 1.89
P: 0.7133 0.1250 0.2500  2 N 1.89
P: 0.0367 0.6250 0.2500  2 N 1.89

***

Question: Among the records above, which one has the highest volume?
Answer: CeAl3Hg3

***

Please write out number 1 again, unchanged.
Density functional theory data (PBE-GGA) for an optimized crystal structure of CsTbZn2F8.

Results
Its volume is 230.1 Å³/cell. The value obtained for the density of states at the Fermi level is 0.00 states/eV/f.u. The theoretical density comes out at 4.1 g/cm³. Its space group is No. 155. The value obtained for the uncorrected formation energy is -2.9358 eV/atom.

a = 5.4600 Å, b = 5.4600 Å, c = 9.4523 Å
α = 73.21°, β = 73.21°, γ = 60.00°
With the nearest neighbours (Å) after each atom.
Atoms (fractional coordinates):
Cs: 0.0000 0.0000 0.0000  6 F 3.18
Zn: 0.2493 0.2493 0.2521  4 F 1.86-1.95
Zn: 0.7507 0.7507 0.7479  4 F 1.86-1.95
F: 0.3188 0.3188 0.0437  1 Zn 1.86
F: 0.4736 0.1211 0.6559  1 Zn 1.95
F: 0.6812 0.6812 0.9563  1 Zn 1.86
F: 0.1211 0.7494 0.6559  1 Zn 1.95
F: 0.8789 0.5264 0.3441  1 Zn 1.95
F: 0.7494 0.4736 0.6559  1 Zn 1.95
F: 0.5264 0.2506 0.3441  1 Zn 1.95
F: 0.2506 0.8789 0.3441  1 Zn 1.95
Tb: 0.5000 0.5000 0.5000  6 F 2.21

***

Copy entry 8 word for word.
Density functional theory data (PBE-GGA) for an optimized crystal structure of PrNd5Ir4.

Results
Its volume is 285.6 Å³/cell. The value obtained for the density of states at the Fermi level is 5.17 states/eV/f.u. The theoretical density comes out at 9.5 g/cm³. Its space group is No. 12. For the raw total energy, the calculation gives -6.93 eV/atom.

a = 4.3586 Å, b = 7.6850 Å, c = 9.6084 Å
α = 113.65°, β = 103.11°, γ = 90.00°
With the nearest neighbours (Å) after each atom.
Atoms (fractional coordinates):
Pr: 0.5000 0.0000 0.0000  4 Ir 2.95
Nd: 0.5000 0.5000 0.0000  4 Ir 2.86
Nd: 0.1655 0.9237 0.3310  4 Ir 2.82-3.06
Nd: 0.1654 0.4075 0.3308  4 Ir 2.82-3.05
Nd: 0.8346 0.5925 0.6692  4 Ir 2.82-3.05
Nd: 0.8345 0.0763 0.6690  4 Ir 2.82-3.06
Ir: 0.3015 0.8014 0.6030  6 Nd 2.92-3.06
Ir: 0.0001 0.7409 0.0001  4 Nd 2.82-2.86, 2 Pr 2.95
Ir: 0.9999 0.2591 0.9999  4 Nd 2.82-2.86, 2 Pr 2.95
Ir: 0.6985 0.1986 0.3970  6 Nd 2.92-3.06

***

Question: volume of number 6 (CrGaIr)?
Answer: 82.8 Å³/cell